## Pr2MgNi (GGA-PBE)

Data for a relaxed Pr2MgNi crystal.

Structure (CIF):
```
data_Pr2MgNi
_symmetry_space_group_name_H-M 'P 4/m m m'
_symmetry_Int_Tables_number 123
_symmetry_space_group_name_Hall '-P 4 2'
_cell_length_a 3.591
_cell_length_b 3.591
_cell_length_c 8.100
_cell_angle_alpha 90.00
_cell_angle_beta 90.00
_cell_angle_gamma 90.00
loop_
_atom_site_label
_atom_site_type_symbol
_atom_site_fract_x
_atom_site_fract_y
_atom_site_fract_z
Pr1 Pr 0.000 0.000 0.207
Mg1 Mg 0.500 0.500 0.500
Ni1 Ni 0.500 0.500 0.000
```

Summary:
calculated total energy	-4.38	eV/atom
formation energy	-0.57	eV/f.u.
ΔE to the lowest computed polymorph	0	meV/atom


## PuMg2O5 (GGA-PBE)

Data for a relaxed PuMg2O5 crystal.

Structure (CIF):
```
data_PuMg2O5
_symmetry_space_group_name_H-M 'C 1 2/c 1'
_symmetry_Int_Tables_number 15
_cell_length_a 10.560
_cell_length_b 5.337
_cell_length_c 7.637
_cell_angle_alpha 90.00
_cell_angle_beta 112.16
_cell_angle_gamma 90.00
loop_
_symmetry_equiv_pos_as_xyz
'x,y,z'
'-x,-y,-z'
'-x,y,-z+1/2'
'x,-y,z+1/2'
'x+1/2,y+1/2,z'
'-x+1/2,-y+1/2,-z'
'-x+1/2,y+1/2,-z+1/2'
'x+1/2,-y+1/2,z+1/2'
loop_
_atom_site_label
_atom_site_type_symbol
_atom_site_fract_x
_atom_site_fract_y
_atom_site_fract_z
Pu1 Pu 0.000 0.000 0.000
Mg1 Mg 0.130 0.491 0.228
O1 O 0.000 0.214 0.750
O2 O 0.079 0.326 0.449
O3 O 0.183 0.146 0.153
```

Summary:
calculated total energy	-7.89	eV/atom
uncorrected formation energy	-2603.6	meV/atom


## Ca2MoAu (GGA-PBE)

Data for a relaxed Ca2MoAu crystal.

Structure (CIF):
```
data_Ca2MoAu
_symmetry_space_group_name_H-M 'I -4 m 2'
_symmetry_Int_Tables_number 119
_symmetry_space_group_name_Hall 'I -4 -2'
_cell_length_a 4.407
_cell_length_b 4.407
_cell_length_c 9.894
_cell_angle_alpha 90.00
_cell_angle_beta 90.00
_cell_angle_gamma 90.00
loop_
_atom_site_label
_atom_site_type_symbol
_atom_site_fract_x
_atom_site_fract_y
_atom_site_fract_z
Ca1 Ca 0.000 0.000 0.000
Ca2 Ca 0.000 0.500 0.250
Mo1 Mo 0.000 0.500 0.750
Au1 Au 0.000 0.000 0.500
```

Summary:
calculated total energy	-4.14	eV/atom
formation energy	1.56	eV/f.u.
ΔE to the lowest computed polymorph	190	meV/atom


## Ba12Au3S5 (GGA-PBE)

Data for a relaxed Ba12Au3S5 crystal.

Structure (CIF):
```
data_Ba12Au3S5
_symmetry_space_group_name_H-M 'I a -3 d'
_symmetry_Int_Tables_number 230
_symmetry_space_group_name_Hall '-I 4bd 2c 3'
_cell_length_a 19.190
_cell_length_b 19.190
_cell_length_c 19.190
_cell_angle_alpha 90.00
_cell_angle_beta 90.00
_cell_angle_gamma 90.00
loop_
_atom_site_label
_atom_site_type_symbol
_atom_site_fract_x
_atom_site_fract_y
_atom_site_fract_z
Ba1 Ba 0.024 0.064 0.651
Au1 Au 0.000 0.250 0.125
S1 S 0.000 0.000 0.000
S2 S 0.000 0.250 0.375
```

Summary:
calculated total energy	-3.72	eV/atom
uncorrected formation energy	-1042.2	meV/atom


## NaBi2Pb (GGA-PBE)

Data for a relaxed NaBi2Pb crystal.

Structure (CIF):
```
data_NaBi2Pb
_symmetry_space_group_name_H-M 'P 1'
_symmetry_Int_Tables_number 1
_cell_length_a 6.608
_cell_length_b 6.668
_cell_length_c 6.675
_cell_angle_alpha 91.02
_cell_angle_beta 90.34
_cell_angle_gamma 117.24
loop_
_symmetry_equiv_pos_as_xyz
'x,y,z'
loop_
_atom_site_label
_atom_site_type_symbol
_atom_site_fract_x
_atom_site_fract_y
_atom_site_fract_z
Na1 Na 0.000 0.000 0.000
Na2 Na 0.497 0.508 0.001
Bi1 Bi 0.481 0.982 0.232
Bi2 Bi 0.528 0.036 0.767
Bi3 Bi 0.746 0.748 0.498
Bi4 Bi 0.977 0.490 0.768
Pb1 Pb 0.014 0.521 0.250
Pb2 Pb 0.241 0.246 0.504
```

Summary:
calculated total energy	-3.31	eV/atom
formation energy	-0.46	eV/f.u.


## LaRu (GGA-PBE)

Data for a relaxed LaRu crystal.

Structure (CIF):
```
data_LaRu
_symmetry_space_group_name_H-M 'I m m 2'
_symmetry_Int_Tables_number 44
_cell_length_a 4.290
_cell_length_b 12.233
_cell_length_c 5.556
_cell_angle_alpha 90.00
_cell_angle_beta 90.00
_cell_angle_gamma 90.00
loop_
_symmetry_equiv_pos_as_xyz
'x,y,z'
'-x,-y,z'
'-x,y,z'
'x,-y,z'
'x+1/2,y+1/2,z+1/2'
'-x+1/2,-y+1/2,z+1/2'
'-x+1/2,y+1/2,z+1/2'
'x+1/2,-y+1/2,z+1/2'
loop_
_atom_site_label
_atom_site_type_symbol
_atom_site_fract_x
_atom_site_fract_y
_atom_site_fract_z
La1 La 0.000 0.000 0.000
La2 La 0.000 0.269 0.358
Ru1 Ru 0.000 0.000 0.482
Ru2 Ru 0.000 0.384 0.877
```

Summary:
calculated total energy	-7.14	eV/atom
formation energy	-0.08	eV/f.u.


## Na5Cu3Br12 (GGA-PBE)

Data for a relaxed Na5Cu3Br12 crystal.

Structure (CIF):
```
data_Na5Cu3Br12
_symmetry_space_group_name_H-M 'I a -3 d'
_symmetry_Int_Tables_number 230
_symmetry_space_group_name_Hall '-I 4bd 2c 3'
_cell_length_a 17.052
_cell_length_b 17.052
_cell_length_c 17.052
_cell_angle_alpha 90.00
_cell_angle_beta 90.00
_cell_angle_gamma 90.00
loop_
_atom_site_label
_atom_site_type_symbol
_atom_site_fract_x
_atom_site_fract_y
_atom_site_fract_z
Na1 Na 0.000 0.000 0.000
Na2 Na 0.000 0.250 0.375
Cu1 Cu 0.000 0.250 0.125
Br1 Br 0.027 0.050 0.337
```

Summary:
calculated total energy	-2.79	eV/atom
uncorrected formation energy	-845.5	meV/atom


## CoAgHg2 (GGA-PBE)

Data for a relaxed CoAgHg2 crystal.

Structure (CIF):
```
data_CoAgHg2
_symmetry_space_group_name_H-M 'I -4 m 2'
_symmetry_Int_Tables_number 119
_symmetry_space_group_name_Hall 'I -4 -2'
_cell_length_a 4.060
_cell_length_b 4.060
_cell_length_c 8.894
_cell_angle_alpha 90.00
_cell_angle_beta 90.00
_cell_angle_gamma 90.00
loop_
_atom_site_label
_atom_site_type_symbol
_atom_site_fract_x
_atom_site_fract_y
_atom_site_fract_z
Co1 Co 0.000 0.000 0.000
Ag1 Ag 0.000 0.500 0.250
Hg1 Hg 0.000 0.000 0.500
Hg2 Hg 0.000 0.500 0.750
```

Summary:
calculated total energy	-2.21	eV/atom
formation energy	1.71	eV/f.u.
ΔE to the lowest computed polymorph	101	meV/atom


## NaPPt3 (GGA-PBE)

Data for a relaxed NaPPt3 crystal.

Structure (CIF):
```
data_NaPPt3
_symmetry_space_group_name_H-M 'P 63/m m c'
_symmetry_Int_Tables_number 194
_symmetry_space_group_name_Hall '-P 6c 2c'
_cell_length_a 5.6882
_cell_length_b 5.6882
_cell_length_c 6.4349
_cell_angle_alpha 90.00
_cell_angle_beta 90.00
_cell_angle_gamma 120.00
loop_
_atom_site_label
_atom_site_type_symbol
_atom_site_fract_x
_atom_site_fract_y
_atom_site_fract_z
Na1 Na 0.3333 0.6667 0.2500
P1 P 0.0000 0.0000 0.0000
Pt1 Pt 0.1751 0.3502 0.7500
```

Summary:
calculated total energy	-5.29	eV/atom
formation energy	-1.62	eV/f.u.
ΔE to the lowest computed polymorph	189	meV/atom


## Rb6BaH8 (GGA-PBE)

Data for a relaxed Rb6BaH8 crystal.

Structure (CIF):
```
data_Rb6BaH8
_symmetry_space_group_name_H-M 'P -3'
_symmetry_Int_Tables_number 147
_cell_length_a 10.2300
_cell_length_b 10.2300
_cell_length_c 4.4278
_cell_angle_alpha 90.00
_cell_angle_beta 90.00
_cell_angle_gamma 120.00
loop_
_symmetry_equiv_pos_as_xyz
'x,y,z'
'-x,-y,-z'
'-y,x-y,z'
'y,-x+y,-z'
'-x+y,-x,z'
'x-y,x,-z'
loop_
_atom_site_label
_atom_site_type_symbol
_atom_site_fract_x
_atom_site_fract_y
_atom_site_fract_z
Rb1 Rb 0.1212 0.4284 0.2326
Ba1 Ba 0.0000 0.0000 0.5000
H1 H 0.0046 0.7553 0.2662
H2 H 0.3333 0.6667 0.7449
```

Summary:
calculated total energy	-2.42	eV/atom


## Tm4ThSc4 (GGA-PBE)

Data for a relaxed Tm4ThSc4 crystal.

Structure (CIF):
```
data_Tm4ThSc4
_symmetry_space_group_name_H-M 'I 4/m m m'
_symmetry_Int_Tables_number 139
_symmetry_space_group_name_Hall '-I 4 2'
_cell_length_a 10.188
_cell_length_b 10.188
_cell_length_c 4.823
_cell_angle_alpha 90.00
_cell_angle_beta 90.00
_cell_angle_gamma 90.00
loop_
_atom_site_label
_atom_site_type_symbol
_atom_site_fract_x
_atom_site_fract_y
_atom_site_fract_z
Tm1 Tm 0.000 0.330 0.000
Th1 Th 0.000 0.000 0.000
Sc1 Sc 0.164 0.164 0.500
```

Summary:
calculated total energy	-5.58	eV/atom
formation energy	0.44	eV/f.u.


## Mg2CoTe (GGA-PBE)

Data for a relaxed Mg2CoTe crystal.

Structure (CIF):
```
data_Mg2CoTe
_symmetry_space_group_name_H-M 'I m m 2'
_symmetry_Int_Tables_number 44
_cell_length_a 3.074
_cell_length_b 4.421
_cell_length_c 12.171
_cell_angle_alpha 90.00
_cell_angle_beta 90.00
_cell_angle_gamma 90.00
loop_
_symmetry_equiv_pos_as_xyz
'x,y,z'
'-x,-y,z'
'-x,y,z'
'x,-y,z'
'x+1/2,y+1/2,z+1/2'
'-x+1/2,-y+1/2,z+1/2'
'-x+1/2,y+1/2,z+1/2'
'x+1/2,-y+1/2,z+1/2'
loop_
_atom_site_label
_atom_site_type_symbol
_atom_site_fract_x
_atom_site_fract_y
_atom_site_fract_z
Mg1 Mg 0.000 0.000 0.000
Mg2 Mg 0.000 0.500 0.171
Co1 Co 0.000 0.000 0.487
Te1 Te 0.000 0.500 0.820
```

Summary:
calculated total energy	-3.44	eV/atom
uncorrected formation energy	-80.5	meV/atom


## CoBiS2Cl (GGA-PBE)

Data for a relaxed CoBiS2Cl crystal.

Structure (CIF):
```
data_CoBiS2Cl
_symmetry_space_group_name_H-M 'P 4/m m m'
_symmetry_Int_Tables_number 123
_symmetry_space_group_name_Hall '-P 4 2'
_cell_length_a 4.591
_cell_length_b 4.591
_cell_length_c 4.475
_cell_angle_alpha 90.00
_cell_angle_beta 90.00
_cell_angle_gamma 90.00
loop_
_atom_site_label
_atom_site_type_symbol
_atom_site_fract_x
_atom_site_fract_y
_atom_site_fract_z
Co1 Co 0.000 0.000 0.000
Bi1 Bi 0.500 0.500 0.500
S1 S 0.000 0.500 0.000
Cl1 Cl 0.000 0.000 0.500
```

Summary:
calculated total energy	-4.25	eV/atom
uncorrected formation energy	-35.6	meV/atom
ΔE to the lowest computed polymorph	0	meV/atom


## Cu3TcBr2F6 (GGA-PBE)

Data for a relaxed Cu3TcBr2F6 crystal.

Structure (CIF):
```
data_Cu3TcBr2F6
_symmetry_space_group_name_H-M 'C 1 2/m 1'
_symmetry_Int_Tables_number 12
_cell_length_a 14.393
_cell_length_b 5.846
_cell_length_c 4.949
_cell_angle_alpha 90.00
_cell_angle_beta 94.09
_cell_angle_gamma 90.00
loop_
_symmetry_equiv_pos_as_xyz
'x,y,z'
'-x,-y,-z'
'-x,y,-z'
'x,-y,z'
'x+1/2,y+1/2,z'
'-x+1/2,-y+1/2,-z'
'-x+1/2,y+1/2,-z'
'x+1/2,-y+1/2,z'
loop_
_atom_site_label
_atom_site_type_symbol
_atom_site_fract_x
_atom_site_fract_y
_atom_site_fract_z
Cu1 Cu 0.000 0.000 0.000
Cu2 Cu 0.250 0.250 0.500
Tc1 Tc 0.000 0.500 0.500
Br1 Br 0.193 0.000 0.170
F1 F 0.045 0.255 0.752
F2 F 0.122 0.500 0.352
```

Summary:
calculated total energy	-4.43	eV/atom
uncorrected formation energy	-1324.6	meV/atom


## LiCdCo (GGA-PBE)

Data for a relaxed LiCdCo crystal.

Structure (CIF):
```
data_LiCdCo
_symmetry_space_group_name_H-M 'F -4 3 m'
_symmetry_Int_Tables_number 216
_symmetry_space_group_name_Hall 'F -4 2 3'
_cell_length_a 6.082
_cell_length_b 6.082
_cell_length_c 6.082
_cell_angle_alpha 90.00
_cell_angle_beta 90.00
_cell_angle_gamma 90.00
loop_
_atom_site_label
_atom_site_type_symbol
_atom_site_fract_x
_atom_site_fract_y
_atom_site_fract_z
Li1 Li 0.000 0.000 0.000
Cd1 Cd 0.000 0.000 0.500
Co1 Co 0.250 0.250 0.750
```

Summary:
calculated total energy	-2.78	eV/atom
formation energy	1.59	eV/f.u.
ΔE to the lowest computed polymorph	339	meV/atom


## Mg2GaSb (GGA-PBE)

Data for a relaxed Mg2GaSb crystal.

Structure (CIF):
```
data_Mg2GaSb
_symmetry_space_group_name_H-M 'I -4 2 d'
_symmetry_Int_Tables_number 122
_symmetry_space_group_name_Hall 'I -4 2bw'
_cell_length_a 7.840
_cell_length_b 7.840
_cell_length_c 6.291
_cell_angle_alpha 90.00
_cell_angle_beta 90.00
_cell_angle_gamma 90.00
loop_
_atom_site_label
_atom_site_type_symbol
_atom_site_fract_x
_atom_site_fract_y
_atom_site_fract_z
Mg1 Mg 0.243 0.250 0.125
Ga1 Ga 0.000 0.000 0.000
Sb1 Sb 0.000 0.000 0.500
```

Summary:
calculated total energy	-2.56	eV/atom
uncorrected formation energy	26.1	meV/atom
ΔE to the lowest computed polymorph	188	meV/atom


Calculated Fermi-level density of states, 3.50, 19.58, 8.81, 145.65, 3.17, 11.77, 74.31, 10.78, 2.97, 0.00, 30.56, 3.27, 3.79, 16.68, 24.95, 12.05 states/eV per cell (same order as the records).